<i>
First-principles (PBE-GGA) data for a relaxed structure of Ti2AgS4, as listed in Alexandria via LeMat-Bulk.

abc: 3.479 6.041 12.535
angles: 90.00 90.00 106.74
Fractional positions:
Ti1 0.869 0.739 0.932
Ti2 0.869 0.739 0.568
Ti3 0.131 0.261 0.432
Ti4 0.131 0.261 0.068
S1 0.060 0.120 0.250
S2 0.940 0.880 0.750
S3 0.500 0.000 0.000
S4 0.500 0.000 0.500
S5 0.227 0.453 0.889
S6 0.227 0.453 0.611
S7 0.773 0.547 0.389
S8 0.773 0.547 0.111
Ag1 0.388 0.777 0.250
Ag2 0.612 0.223 0.750

Results
Total magnetic moment in Bohr magnetons per cell: 0.0
Space group: Cmcm
Mass density in g/cm3: 4.369
DOS at the Fermi energy in states/eV per atom: 0.42



<ii>
First-principles (PBE-GGA) data for a relaxed structure of Ti2AgS4, as listed in Alexandria via LeMat-Bulk.

abc: 3.451 5.957 7.325
angles: 112.54 103.62 90.00
Fractional positions:
Ti1 0.251 0.244 0.501
Ti2 0.749 0.756 0.499
Ag1 0.000 0.000 0.000
S1 0.139 0.808 0.278
S2 0.861 0.192 0.722
S3 0.641 0.317 0.283
S4 0.359 0.683 0.717

Results
Total magnetic moment in Bohr magnetons per cell: 0.0
Space group: C2/m
Mass density in g/cm3: 4.097
DOS at the Fermi energy in states/eV per atom: 0.54



<ii> is the most stable structure; the next one sits 0.111 eV/atom above it.



<i>
First-principles (PBE-GGA) data for a relaxed structure of TiAg2S2, as listed in Alexandria via LeMat-Bulk.

abc: 4.880 4.880 5.343
angles: 62.82 62.82 90.00
Fractional positions:
Ag1 0.660 0.660 0.680
Ag2 0.340 0.340 0.320
S1 0.750 0.250 0.500
S2 0.250 0.750 0.500
Ti1 0.000 0.000 0.000

Results
Total magnetic moment in Bohr magnetons per cell: 0.0
Space group: I4/mmm
Mass density in g/cm3: 5.602
DOS at the Fermi energy in states/eV per atom: 2.38



<ii>
First-principles (PBE-GGA) data for a relaxed structure of TiAg2S2, as listed in Alexandria via LeMat-Bulk.

abc: 7.218 7.218 3.491
angles: 90.00 90.00 90.00
Last column: magnetic moment on the atom in μB.
Fractional positions:
S1 0.686 0.814 0.500  -0.05
S2 0.314 0.186 0.500  -0.05
S3 0.814 0.314 0.500  -0.05
S4 0.186 0.686 0.500  -0.05
Ag1 0.129 0.371 0.000  0.03
Ag2 0.871 0.629 0.000  0.03
Ag3 0.371 0.871 0.000  0.03
Ag4 0.629 0.129 0.000  0.03
Ti1 0.500 0.500 0.000  1.52
Ti2 0.000 0.000 0.000  1.52

Results
Total magnetic moment in Bohr magnetons per cell: 3.6
Space group: P4/mbm
Mass density in g/cm3: 5.983
DOS at the Fermi energy in states/eV per atom: 0.49



<ii> is the most stable structure; the next one sits 0.164 eV/atom above it.



<i>
First-principles (PBE-GGA) data for a relaxed structure of TiAg2S4, as listed in Alexandria via LeMat-Bulk.

abc: 4.884 4.884 7.099
angles: 69.88 69.88 90.00
Last column: magnetic moment on the atom in μB.
Fractional positions:
S1 0.000 0.500 0.000  0.22
S2 0.813 0.813 0.374  0.36
S3 0.187 0.187 0.626  0.36
S4 0.500 0.000 0.000  0.22
Ag1 0.617 0.617 0.766  0.08
Ag2 0.383 0.383 0.234  0.08
Ti1 0.000 0.000 0.000  -0.13

Results
Total magnetic moment in Bohr magnetons per cell: 1.7
Space group: I4/mmm
Mass density in g/cm3: 4.398
DOS at the Fermi energy in states/eV per atom: 0.96



<ii>
First-principles (PBE-GGA) data for a relaxed structure of TiAg2S4, as listed in Alexandria via LeMat-Bulk.

abc: 6.874 7.763 7.763
angles: 56.57 63.72 63.72
Fractional positions:
Ag1 0.500 0.500 0.500
Ag2 0.500 0.000 0.000
Ag3 0.104 0.146 0.646
Ag4 0.896 0.854 0.354
S1 0.311 0.713 0.213
S2 0.768 0.257 0.208
S3 0.763 0.713 0.213
S4 0.232 0.743 0.792
S5 0.689 0.287 0.787
S6 0.768 0.708 0.757
S7 0.237 0.287 0.787
S8 0.232 0.292 0.243
Ti1 0.500 0.500 0.000
Ti2 0.000 0.500 0.000

Results
Total magnetic moment in Bohr magnetons per cell: 0.0
Space group: Imma
Mass density in g/cm3: 4.355
DOS at the Fermi energy in states/eV per atom: 0.16



<ii> is the most stable structure; the next one sits 0.335 eV/atom above it.



<i>
First-principles (PBE-GGA) data for a relaxed structure of TlAg4S2, as listed in Alexandria via LeMat-Bulk.

abc: 4.116 8.394 8.394
angles: 90.00 90.00 90.00
Fractional positions:
S1 0.000 0.217 0.783
S2 0.000 0.783 0.217
S3 0.500 0.717 0.717
S4 0.500 0.283 0.283
Ag1 0.000 0.338 0.079
Ag2 0.500 0.579 0.162
Ag3 0.000 0.921 0.662
Ag4 0.500 0.421 0.838
Ag5 0.500 0.162 0.579
Ag6 0.500 0.838 0.421
Ag7 0.000 0.662 0.921
Ag8 0.000 0.079 0.338
Tl1 0.500 0.000 0.000
Tl2 0.000 0.500 0.500

Results
Total magnetic moment in Bohr magnetons per cell: 0.0
Space group: P4_2/mnm
Mass density in g/cm3: 8.016
DOS at the Fermi energy in states/eV per atom: 0.20



<ii>
First-principles (PBE-GGA) data for a relaxed structure of TlAg4S2, as listed in Alexandria via LeMat-Bulk.

abc: 4.587 4.587 8.602
angles: 74.54 74.54 60.00
Fractional positions:
Tl1 0.000 0.000 0.000
S1 0.749 0.749 0.753
S2 0.251 0.251 0.247
Ag1 0.572 0.572 0.284
Ag2 0.143 0.143 0.571
Ag3 0.857 0.857 0.429
Ag4 0.428 0.428 0.716

Results
Total magnetic moment in Bohr magnetons per cell: 0.0
Space group: R-3m
Mass density in g/cm3: 7.793
DOS at the Fermi energy in states/eV per atom: 0.33



<i> is the most stable structure; the next one sits 0.060 eV/atom above it.



<i>
First-principles (PBE-GGA) data for a relaxed structure of TlAg6S4, as listed in Alexandria via LeMat-Bulk.

abc: 3.893 8.042 8.042
angles: 120.00 90.00 90.00
Fractional positions:
Tl1 0.000 0.000 0.000
S1 0.500 0.360 0.180
S2 0.500 0.820 0.640
S3 0.500 0.820 0.180
S4 0.000 0.333 0.667
Ag1 0.000 0.909 0.455
Ag2 0.500 0.198 0.396
Ag3 0.000 0.545 0.455
Ag4 0.500 0.604 0.802
Ag5 0.500 0.198 0.802
Ag6 0.000 0.545 0.091

Results
Total magnetic moment in Bohr magnetons per cell: 0.0
Space group: P-6m2
Mass density in g/cm3: 7.462
DOS at the Fermi energy in states/eV per atom: 0.56



<ii>
First-principles (PBE-GGA) data for a relaxed structure of TlAg6S4, as listed in Alexandria via LeMat-Bulk.

abc: 6.923 6.923 6.923
angles: 90.41 119.76 119.76
Fractional positions:
Tl1 0.000 0.000 0.000
Ag1 0.000 0.510 0.814
Ag2 0.500 0.000 0.500
Ag3 0.696 0.186 0.186
Ag4 0.500 0.500 0.000
Ag5 0.304 0.490 0.490
Ag6 0.000 0.814 0.510
S1 0.000 0.599 0.163
S2 0.000 0.163 0.599
S3 0.436 0.837 0.837
S4 0.564 0.401 0.401

Results
Total magnetic moment in Bohr magnetons per cell: 0.0
Space group: I-42m
Mass density in g/cm3: 6.911
DOS at the Fermi energy in states/eV per atom: 0.58



<ii> is the most stable structure; the next one sits 0.008 eV/atom above it.



<i>
First-principles (PBE-GGA) data for a relaxed structure of Tl2AgS, as listed in Alexandria via LeMat-Bulk.

abc: 3.877 3.877 9.474
angles: 78.19 78.19 60.00
Fractional positions:
Ag1 0.000 0.000 0.000
S1 0.500 0.500 0.500
Tl1 0.898 0.898 0.306
Tl2 0.102 0.102 0.694

Results
Total magnetic moment in Bohr magnetons per cell: 0.0
Space group: R-3m
Mass density in g/cm3: 7.602
DOS at the Fermi energy in states/eV per atom: 0.52



<ii>
First-principles (PBE-GGA) data for a relaxed structure of Tl2AgS, as listed in Alexandria via LeMat-Bulk.

abc: 8.085 8.085 6.511
angles: 51.63 51.63 90.00
Fractional positions:
Tl1 0.610 0.125 0.250
Tl2 0.140 0.625 0.250
Tl3 0.875 0.860 0.750
Tl4 0.375 0.390 0.750
Ag1 0.750 0.250 0.500
Ag2 0.000 0.000 0.000
S1 0.250 0.750 0.500
S2 0.500 0.500 0.000

Results
Total magnetic moment in Bohr magnetons per cell: 0.0
Space group: I-42d
Mass density in g/cm3: 8.943
DOS at the Fermi energy in states/eV per atom: 0.24



<iii>
First-principles (PBE-GGA) data for a relaxed structure of Tl2AgS, as listed in Alexandria via LeMat-Bulk.

abc: 5.237 5.237 5.237
angles: 60.00 60.00 60.00
Fractional positions:
Ag1 0.500 0.500 0.500
Tl1 0.250 0.250 0.250
Tl2 0.750 0.750 0.750
S1 0.000 0.000 0.000

Results
Total magnetic moment in Bohr magnetons per cell: 0.0
Space group: Fm-3m
Mass density in g/cm3: 8.970
DOS at the Fermi energy in states/eV per atom: 0.76



<ii> is the most stable structure; the next one sits 0.064 eV/atom above it.



<i>
First-principles (PBE-GGA) data for a relaxed structure of TlAg2S2, as listed in Alexandria via LeMat-Bulk.

abc: 5.040 5.040 6.237
angles: 66.17 66.17 90.00
Fractional positions:
S1 0.750 0.250 0.500
S2 0.250 0.750 0.500
Tl1 0.000 0.000 0.000
Ag1 0.701 0.701 0.598
Ag2 0.299 0.299 0.402

Results
Total magnetic moment in Bohr magnetons per cell: 0.0
Space group: I4/mmm
Mass density in g/cm3: 6.184
DOS at the Fermi energy in states/eV per atom: 0.25



<ii>
First-principles (PBE-GGA) data for a relaxed structure of TlAg2S2, as listed in Alexandria via LeMat-Bulk.

abc: 4.318 4.318 6.821
angles: 71.55 71.55 90.00
Fractional positions:
Ag1 0.250 0.750 0.500
Ag2 0.750 0.250 0.500
Tl1 0.000 0.000 0.000
S1 0.629 0.629 0.742
S2 0.371 0.371 0.258

Results
Total magnetic moment in Bohr magnetons per cell: 0.0
Space group: I4/mmm
Mass density in g/cm3: 7.070
DOS at the Fermi energy in states/eV per atom: 0.78



<ii> is the most stable structure; the next one sits 0.042 eV/atom above it.



<i>
First-principles (PBE-GGA) data for a relaxed structure of TlAg2S2, as listed in Alexandria via LeMat-Bulk.

abc: 4.614 4.614 7.240
angles: 90.00 90.00 90.00
Fractional positions:
Ag1 0.500 0.500 0.303
Ag2 0.500 0.500 0.697
S1 0.000 0.500 0.782
S2 0.500 0.000 0.218
Tl1 0.000 0.000 0.000

Results
Total magnetic moment in Bohr magnetons per cell: 0.0
Space group: P-4m2
Mass density in g/cm3: 5.217
DOS at the Fermi energy in states/eV per atom: 0.38



<ii>
First-principles (PBE-GGA) data for a relaxed structure of TlAg2S2, as listed in Alexandria via LeMat-Bulk.

abc: 8.008 8.008 3.183
angles: 90.00 90.00 90.00
Fractional positions:
Tl1 0.500 0.500 0.000
Tl2 0.000 0.000 0.000
Ag1 0.130 0.370 0.000
Ag2 0.370 0.870 0.000
Ag3 0.870 0.630 0.000
Ag4 0.630 0.130 0.000
S1 0.170 0.670 0.500
S2 0.330 0.170 0.500
S3 0.830 0.330 0.500
S4 0.670 0.830 0.500

Results
Total magnetic moment in Bohr magnetons per cell: 0.0
Space group: P4/mbm
Mass density in g/cm3: 7.879
DOS at the Fermi energy in states/eV per atom: 0.44



<i> is the most stable structure; the next one sits 0.089 eV/atom above it.



<i>
First-principles (PBE-GGA) data for a relaxed structure of Tl3AgS2, as listed in Alexandria via LeMat-Bulk.

abc: 5.388 7.902 10.824
angles: 111.41 104.41 90.00
Fractional positions:
Ag1 0.000 0.500 0.000
Ag2 0.000 0.000 0.000
Tl1 0.192 0.942 0.384
Tl2 0.500 0.250 0.000
Tl3 0.192 0.442 0.384
Tl4 0.500 0.750 0.000
Tl5 0.808 0.058 0.616
Tl6 0.808 0.558 0.616
S1 0.323 0.606 0.212
S2 0.111 0.894 0.788
S3 0.677 0.394 0.788
S4 0.889 0.106 0.212

Results
Total magnetic moment in Bohr magnetons per cell: 0.0
Space group: Ibam
Mass density in g/cm3: 6.307
DOS at the Fermi energy in states/eV per atom: 0.01



<ii>
First-principles (PBE-GGA) data for a relaxed structure of Tl3AgS2, as listed in Alexandria via LeMat-Bulk.

abc: 4.187 8.860 10.277
angles: 75.16 78.24 76.33
Fractional positions:
Tl1 0.050 0.145 0.754
Tl2 0.352 0.297 0.999
Tl3 0.232 0.177 0.360
Tl4 0.768 0.823 0.640
Tl5 0.648 0.703 0.001
Tl6 0.950 0.855 0.246
Ag1 0.574 0.502 0.351
Ag2 0.426 0.498 0.649
S1 0.147 0.524 0.182
S2 0.853 0.476 0.818
S3 0.608 0.239 0.546
S4 0.392 0.761 0.454

Results
Total magnetic moment in Bohr magnetons per cell: 0.0
Space group: C2/m
Mass density in g/cm3: 7.367



<ii> is the most stable structure; the next one sits 0.060 eV/atom above it.



<i>
First-principles (PBE-GGA) data for a relaxed structure of Tm2AgS4, as listed in Alexandria via LeMat-Bulk.

abc: 7.856 7.856 7.853
angles: 59.97 59.97 90.01
Fractional positions:
S1 0.742 0.757 0.486
S2 0.257 0.772 0.986
S3 0.272 0.757 0.486
S4 0.743 0.228 0.014
S5 0.258 0.243 0.514
S6 0.728 0.243 0.514
S7 0.257 0.242 0.986
S8 0.743 0.758 0.014
Ag1 0.875 0.625 0.750
Ag2 0.125 0.375 0.250
Tm1 0.000 0.000 0.000
Tm2 0.500 0.500 0.500
Tm3 0.500 0.000 0.500
Tm4 0.500 0.000 0.000

Results
Total magnetic moment in Bohr magnetons per cell: 0.0
Space group: I4_1/amd
Mass density in g/cm3: 5.568
DOS at the Fermi energy in states/eV per atom: 0.59



<ii>
First-principles (PBE-GGA) data for a relaxed structure of Tm2AgS4, as listed in Alexandria via LeMat-Bulk.

abc: 6.572 5.257 8.503
angles: 90.00 98.29 90.00
Fractional positions:
S1 0.023 0.750 0.877
S2 0.558 0.009 0.296
S3 0.442 0.509 0.704
S4 0.093 0.750 0.409
S5 0.907 0.250 0.591
S6 0.558 0.491 0.296
S7 0.442 0.991 0.704
S8 0.977 0.250 0.123
Ag1 0.349 0.750 0.068
Ag2 0.651 0.250 0.932
Tm1 0.759 0.750 0.567
Tm2 0.846 0.750 0.149
Tm3 0.241 0.250 0.433
Tm4 0.154 0.250 0.851

Results
Total magnetic moment in Bohr magnetons per cell: 0.0
Space group: P2_1/m
Mass density in g/cm3: 6.557
DOS at the Fermi energy in states/eV per atom: 0.10



<i> is the most stable structure; the next one sits 0.084 eV/atom above it.